1.
DFT (PBE) results for an optimized crystal structure of Tc3Ni.

Cell and atoms, written as CIF:
```
data_Tc3Ni
_chemical_formula_sum 'Tc6 Ni2'
_symmetry_space_group_name_H-M 'P 1'
_symmetry_Int_Tables_number 1
_cell_length_a 5.374
_cell_length_b 5.374
_cell_length_c 4.322
_cell_angle_alpha 90.00
_cell_angle_beta 90.00
_cell_angle_gamma 120.00
loop_
_symmetry_equiv_pos_as_xyz
'x,y,z'
loop_
_atom_site_label
_atom_site_type_symbol
_atom_site_fract_x
_atom_site_fract_y
_atom_site_fract_z
Ni1 Ni 0.667 0.333 0.250
Ni2 Ni 0.333 0.667 0.750
Tc1 Tc 0.166 0.332 0.250
Tc2 Tc 0.166 0.834 0.250
Tc3 Tc 0.668 0.834 0.250
Tc4 Tc 0.332 0.166 0.750
Tc5 Tc 0.834 0.166 0.750
Tc6 Tc 0.834 0.668 0.750
```

Values from the calculation:
* relative energy among the computed polymorphs: 0.00 eV/f.u.
* formation enthalpy at 0 K: -0.103 eV per atom
* V: 108.1 Å³/cell



2.
DFT (PBE) results for an optimized crystal structure of TcNi.

Cell and atoms, written as CIF:
```
data_TcNi
_chemical_formula_sum 'Tc1 Ni1'
_symmetry_space_group_name_H-M 'P 1'
_symmetry_Int_Tables_number 1
_cell_length_a 2.638
_cell_length_b 2.638
_cell_length_c 4.227
_cell_angle_alpha 90.00
_cell_angle_beta 90.00
_cell_angle_gamma 120.00
loop_
_symmetry_equiv_pos_as_xyz
'x,y,z'
loop_
_atom_site_label
_atom_site_type_symbol
_atom_site_fract_x
_atom_site_fract_y
_atom_site_fract_z
Ni1 Ni 0.667 0.333 0.750
Tc1 Tc 0.333 0.667 0.250
```

Values from the calculation:
* relative energy among the computed polymorphs: 0.22 eV/f.u.
* formation enthalpy at 0 K: 0.075 eV per atom
* V: 25.5 Å³/cell



3.
DFT (PBE) results for an optimized crystal structure of TcNi3.

Cell and atoms, written as CIF:
```
data_TcNi3
_chemical_formula_sum 'Tc1 Ni3'
_symmetry_space_group_name_H-M 'P 1'
_symmetry_Int_Tables_number 1
_cell_length_a 4.046
_cell_length_b 4.046
_cell_length_c 4.046
_cell_angle_alpha 60.00
_cell_angle_beta 60.00
_cell_angle_gamma 60.00
loop_
_symmetry_equiv_pos_as_xyz
'x,y,z'
loop_
_atom_site_label
_atom_site_type_symbol
_atom_site_fract_x
_atom_site_fract_y
_atom_site_fract_z
Ni1 Ni 0.000 0.000 0.000
Ni2 Ni 0.250 0.250 0.250
Ni3 Ni 0.500 0.500 0.500
Tc1 Tc 0.750 0.750 0.750
```

Values from the calculation:
* formation enthalpy at 0 K: 0.141 eV per atom
* V: 46.8 Å³/cell



4.
DFT (PBE) results for an optimized crystal structure of Tc3Ni2.

Cell and atoms, written as CIF:
```
data_Tc3Ni2
_chemical_formula_sum 'Tc6 Ni4'
_symmetry_space_group_name_H-M 'P 1'
_symmetry_Int_Tables_number 1
_cell_length_a 6.156
_cell_length_b 6.156
_cell_length_c 5.462
_cell_angle_alpha 124.30
_cell_angle_beta 55.70
_cell_angle_gamma 120.00
loop_
_symmetry_equiv_pos_as_xyz
'x,y,z'
loop_
_atom_site_label
_atom_site_type_symbol
_atom_site_fract_x
_atom_site_fract_y
_atom_site_fract_z
Ni1 Ni 0.589 0.411 0.232
Ni2 Ni 0.911 0.089 0.268
Ni3 Ni 0.089 0.911 0.732
Ni4 Ni 0.411 0.589 0.768
Tc1 Tc 0.497 0.750 0.250
Tc2 Tc 0.250 0.997 0.250
Tc3 Tc 0.003 0.503 0.250
Tc4 Tc 0.750 0.003 0.750
Tc5 Tc 0.503 0.250 0.750
Tc6 Tc 0.997 0.497 0.750
```

Values from the calculation:
* formation enthalpy at 0 K: 0.512 eV per atom
* V: 136.1 Å³/cell



5.
DFT (PBE) results for an optimized crystal structure of ThTc4Ni.

Cell and atoms, written as CIF:
```
data_ThTc4Ni
_chemical_formula_sum 'Th1 Tc4 Ni1'
_symmetry_space_group_name_H-M 'P 1'
_symmetry_Int_Tables_number 1
_cell_length_a 5.892
_cell_length_b 5.892
_cell_length_c 5.892
_cell_angle_alpha 48.15
_cell_angle_beta 48.15
_cell_angle_gamma 48.15
loop_
_symmetry_equiv_pos_as_xyz
'x,y,z'
loop_
_atom_site_label
_atom_site_type_symbol
_atom_site_fract_x
_atom_site_fract_y
_atom_site_fract_z
Ni1 Ni 0.500 0.500 0.500
Tc1 Tc 0.193 0.193 0.193
Tc2 Tc 0.342 0.342 0.342
Tc3 Tc 0.658 0.658 0.658
Tc4 Tc 0.807 0.807 0.807
Th1 Th 0.000 0.000 0.000
```

Values from the calculation:
* formation enthalpy at 0 K: 0.404 eV per atom
* V: 104.0 Å³/cell



6.
DFT (PBE) results for an optimized crystal structure of TlTcNiW.

Cell and atoms, written as CIF:
```
data_TlTcNiW
_chemical_formula_sum 'Tl1 Tc1 Ni1 W1'
_symmetry_space_group_name_H-M 'P 1'
_symmetry_Int_Tables_number 1
_cell_length_a 4.478
_cell_length_b 4.478
_cell_length_c 4.478
_cell_angle_alpha 60.00
_cell_angle_beta 60.00
_cell_angle_gamma 60.00
loop_
_symmetry_equiv_pos_as_xyz
'x,y,z'
loop_
_atom_site_label
_atom_site_type_symbol
_atom_site_fract_x
_atom_site_fract_y
_atom_site_fract_z
Ni1 Ni 0.750 0.750 0.750
Tc1 Tc 0.250 0.250 0.250
Tl1 Tl 0.000 0.000 0.000
W1 W 0.500 0.500 0.500
```

Values from the calculation:
* DFT total energy: -7.247 eV/atom
* V: 63.5 Å³/cell



7.
DFT (PBE) results for an optimized crystal structure of TmTcNi.

Cell and atoms, written as CIF:
```
data_TmTcNi
_chemical_formula_sum 'Tm1 Tc1 Ni1'
_symmetry_space_group_name_H-M 'P 1'
_symmetry_Int_Tables_number 1
_cell_length_a 4.332
_cell_length_b 4.332
_cell_length_c 4.332
_cell_angle_alpha 60.00
_cell_angle_beta 60.00
_cell_angle_gamma 60.00
loop_
_symmetry_equiv_pos_as_xyz
'x,y,z'
loop_
_atom_site_label
_atom_site_type_symbol
_atom_site_fract_x
_atom_site_fract_y
_atom_site_fract_z
Ni1 Ni 0.000 0.000 0.000
Tc1 Tc 0.250 0.250 0.250
Tm1 Tm 0.750 0.750 0.750
```

Values from the calculation:
* relative energy among the computed polymorphs: 0.00 eV/f.u.
* formation enthalpy at 0 K: 0.287 eV per atom
* V: 57.5 Å³/cell



8.
DFT (PBE) results for an optimized crystal structure of TmTcNi.

Cell and atoms, written as CIF:
```
data_TmTcNi
_chemical_formula_sum 'Tm1 Tc1 Ni1'
_symmetry_space_group_name_H-M 'P 1'
_symmetry_Int_Tables_number 1
_cell_length_a 4.382
_cell_length_b 4.382
_cell_length_c 4.382
_cell_angle_alpha 60.00
_cell_angle_beta 60.00
_cell_angle_gamma 60.00
loop_
_symmetry_equiv_pos_as_xyz
'x,y,z'
loop_
_atom_site_label
_atom_site_type_symbol
_atom_site_fract_x
_atom_site_fract_y
_atom_site_fract_z
Ni1 Ni 0.250 0.250 0.250
Tc1 Tc 0.750 0.750 0.750
Tm1 Tm 0.000 0.000 0.000
```

Values from the calculation:
* relative energy among the computed polymorphs: 2.10 eV/f.u.
* formation enthalpy at 0 K: 0.986 eV per atom
* V: 59.5 Å³/cell



9.
DFT (PBE) results for an optimized crystal structure of YTc2Ni.

Cell and atoms, written as CIF:
```
data_YTc2Ni
_chemical_formula_sum 'Y1 Tc2 Ni1'
_symmetry_space_group_name_H-M 'P 1'
_symmetry_Int_Tables_number 1
_cell_length_a 4.500
_cell_length_b 4.500
_cell_length_c 4.500
_cell_angle_alpha 60.00
_cell_angle_beta 60.00
_cell_angle_gamma 60.00
loop_
_symmetry_equiv_pos_as_xyz
'x,y,z'
loop_
_atom_site_label
_atom_site_type_symbol
_atom_site_fract_x
_atom_site_fract_y
_atom_site_fract_z
Ni1 Ni 0.500 0.500 0.500
Tc1 Tc 0.000 0.000 0.000
Tc2 Tc 0.250 0.250 0.250
Y1 Y 0.750 0.750 0.750
```

Values from the calculation:
* formation enthalpy at 0 K: 0.137 eV per atom
* V: 64.4 Å³/cell



10.
DFT (PBE) results for an optimized crystal structure of YTcNi2.

Cell and atoms, written as CIF:
```
data_YTcNi2
_chemical_formula_sum 'Y1 Tc1 Ni2'
_symmetry_space_group_name_H-M 'P 1'
_symmetry_Int_Tables_number 1
_cell_length_a 4.436
_cell_length_b 4.436
_cell_length_c 4.436
_cell_angle_alpha 60.00
_cell_angle_beta 60.00
_cell_angle_gamma 60.00
loop_
_symmetry_equiv_pos_as_xyz
'x,y,z'
loop_
_atom_site_label
_atom_site_type_symbol
_atom_site_fract_x
_atom_site_fract_y
_atom_site_fract_z
Ni1 Ni 0.000 0.000 0.000
Ni2 Ni 0.250 0.250 0.250
Tc1 Tc 0.750 0.750 0.750
Y1 Y 0.500 0.500 0.500
```

Values from the calculation:
* formation enthalpy at 0 K: 0.219 eV per atom
* V: 61.7 Å³/cell